Computed, not measured: an optimized crystal structure of Tl2ZnCd at the PBE level of DFT. Values from VASP.

* relative energy among the computed polymorphs: 51 meV per atom
* energy relative to the elements: 0.131 eV/atom
* D(E_F): 1.5 states/eV/cell
* magnetization: 0.00 μB/cell
* theoretical density: 9.4 g cm⁻³
* symmetry: C2/m (12)

Geometry as Quantum ESPRESSO input:
```
&SYSTEM
  ibrav = 0, nat = 4, ntyp = 3
/
ATOMIC_SPECIES
Tl 204.38 Tl.upf
Zn 65.41 Zn.upf
Cd 112.41 Cd.upf
ATOMIC_POSITIONS angstrom
Tl 5.3834 1.8600 2.9563
Tl 1.2059 0.4167 6.0363
Zn 8.1432 2.8135 4.3471
Cd 2.7144 0.9378 1.4490
CELL_PARAMETERS angstrom
5.3838 0.1260 -0.1492
4.3132 3.2245 -0.1492
1.1605 0.4010 6.0945
```